Entry 1:
VASP calculation (PBEsol) on a relaxed KCa2Ni crystal.

Cell: 3.8943 3.8943 9.2238 Å, 90.00 90.00 90.00°
Sites, in units of the cell vectors:
K1 0.0000 0.0000 0.0000
Ca1 0.0000 0.0000 0.6277
Ca2 0.5000 0.5000 0.3694
Ni1 0.5000 0.5000 0.6739

Calculated values
Space group: P4mm, No. 99
Calculated total energy in eV for the cell shown: -10.636
Formation enthalpy at 0 K in eV per atom: 0.230

Entry 2:
VASP calculation (PBEsol) on a relaxed Ta2OsAu crystal.

Cell: 4.8930 4.8930 4.8600 Å, 100.30 100.30 34.87°
Sites, in units of the cell vectors:
Ta1 0.2490 0.2490 0.2460
Ta2 0.7510 0.7510 0.7540
Os1 0.5000 0.5000 0.0000
Au1 0.0000 0.0000 0.5000

Calculated values
Space group: C2/m, No. 12
Calculated total energy in eV for the cell shown: -40.767
Formation enthalpy at 0 K in eV per atom: 0.119

Entry 3:
VASP calculation (PBEsol) on a relaxed BaMn2Au crystal.

Cell: 3.3938 3.3938 7.6105 Å, 90.00 90.00 90.00°
Sites, in units of the cell vectors:
Ba1 0.0000 0.0000 0.0000
Mn1 0.5000 0.5000 0.3268
Mn2 0.5000 0.5000 0.6732
Au1 0.0000 0.0000 0.5000

Calculated values
Space group: P4/mmm, No. 123
Calculated total energy in eV for the cell shown: -23.563
Formation enthalpy at 0 K in eV per atom: 0.508

Entry 4:
VASP calculation (PBEsol) on a relaxed K2HgTe2 crystal.

Cell: 9.9888 9.9888 9.9888 Å, 154.14 154.14 36.90°
Sites, in units of the cell vectors:
K1 0.1098 0.1098 0.0000
K2 0.8902 0.8902 0.0000
Hg1 0.5000 0.5000 0.0000
Te1 0.2500 0.7500 0.5000
Te2 0.7500 0.2500 0.5000

Calculated values
Space group: I4/mmm, No. 139
Calculated total energy in eV for the cell shown: -11.734
ΔE_f (raw) in eV/atom: -0.370

Entry 5:
VASP calculation (PBEsol) on a relaxed MgTi3 crystal.

Cell: 2.9222 2.9222 9.6056 Å, 90.00 90.00 120.00°
Sites, in units of the cell vectors:
Mg1 0.0000 0.0000 0.0000
Ti1 0.0000 0.0000 0.5000
Ti2 0.6667 0.3333 0.2681
Ti3 0.6667 0.3333 0.7319

Calculated values
Space group: P-6m2, No. 187
Calculated total energy in eV for the cell shown: -26.276
Formation enthalpy at 0 K in eV per atom: 0.102

Entry 6:
VASP calculation (PBEsol) on a relaxed Ti2Be2Ir crystal.

Cell: 6.1859 6.1859 3.1534 Å, 90.00 90.00 90.00°
Sites, in units of the cell vectors:
Ti1 0.1752 0.3248 0.0000
Ti2 0.3248 0.8248 0.0000
Ti3 0.6752 0.1752 0.0000
Ti4 0.8248 0.6752 0.0000
Be1 0.1220 0.6220 0.5000
Be2 0.3780 0.1220 0.5000
Be3 0.6220 0.8780 0.5000
Be4 0.8780 0.3780 0.5000
Ir1 0.0000 0.0000 0.5000
Ir2 0.5000 0.5000 0.5000

Calculated values
Space group: P4/mbm, No. 127
Calculated total energy in eV for the cell shown: -74.484
Formation enthalpy at 0 K in eV per atom: -0.555

Entry 7:
VASP calculation (PBEsol) on a relaxed ZnCuIr2Au crystal.

Cell: 4.4924 4.4924 4.5447 Å, 90.00 90.00 90.00°
Sites, in units of the cell vectors:
Zn1 0.0000 0.0000 0.0000
Cu1 0.5000 0.5000 0.5000
Ir1 0.0000 0.5000 0.0000
Ir2 0.5000 0.0000 0.0000
Au1 0.0000 0.0000 0.5000

Calculated values
Space group: P4/mmm, No. 123
Calculated total energy in eV for the cell shown: -21.525
Formation enthalpy at 0 K in eV per atom: 1.592

Entry 8:
VASP calculation (PBEsol) on a relaxed Ba2SbAs crystal.

Cell: 7.2307 7.2307 7.2307 Å, 102.63 102.63 124.24°
Sites, in units of the cell vectors:
Ba1 0.0983 0.1250 0.4733
Ba2 0.3750 0.9017 0.0267
Ba3 0.6517 0.6250 0.5267
Ba4 0.8750 0.3483 0.9733
Sb1 0.2500 0.7500 0.5000
Sb2 0.5000 0.5000 0.0000
As1 0.0000 0.0000 0.0000
As2 0.7500 0.2500 0.5000

Calculated values
Space group: I-42d, No. 122
Calculated total energy in eV for the cell shown: -33.408
ΔE_f (raw) in eV/atom: -0.686

Entry 9:
VASP calculation (PBEsol) on a relaxed LaMn3Ni2 crystal.

Cell: 8.9387 8.9387 4.0923 Å, 90.00 90.00 120.00°
Sites, in units of the cell vectors:
La1 0.0000 0.0000 0.0000
La2 0.3333 0.6667 0.5000
La3 0.6667 0.3333 0.5000
Mn1 0.0000 0.3056 0.5000
Mn2 0.0000 0.5000 0.0000
Mn3 0.0000 0.6944 0.5000
Mn4 0.3056 0.0000 0.5000
Mn5 0.3056 0.3056 0.5000
Mn6 0.5000 0.0000 0.0000
Mn7 0.5000 0.5000 0.0000
Mn8 0.6944 0.0000 0.5000
Mn9 0.6944 0.6944 0.5000
Ni1 0.1796 0.3591 0.0000
Ni2 0.1796 0.8204 0.0000
Ni3 0.3591 0.1796 0.0000
Ni4 0.6409 0.8204 0.0000
Ni5 0.8204 0.1796 0.0000
Ni6 0.8204 0.6409 0.0000

Calculated values
Space group: P6/mmm, No. 191
Calculated total energy in eV for the cell shown: -138.738
Formation enthalpy at 0 K in eV per atom: 0.116

Entry 10:
VASP calculation (PBEsol) on a relaxed Tl2Cd2Ga crystal.

Cell: 7.0474 7.0474 5.0166 Å, 90.00 90.00 90.00°
Sites, in units of the cell vectors:
Tl1 0.1733 0.3267 0.0000
Tl2 0.3267 0.8267 0.0000
Tl3 0.6733 0.1733 0.0000
Tl4 0.8267 0.6733 0.0000
Cd1 0.1422 0.6422 0.5000
Cd2 0.3578 0.1422 0.5000
Cd3 0.6422 0.8578 0.5000
Cd4 0.8578 0.3578 0.5000
Ga1 0.0000 0.0000 0.5000
Ga2 0.5000 0.5000 0.5000

Calculated values
Space group: P4/mbm, No. 127
Calculated total energy in eV for the cell shown: -20.823
Formation enthalpy at 0 K in eV per atom: 0.116

Entry 11:
VASP calculation (PBEsol) on a relaxed CrCu2Rh crystal.

Cell: 4.1177 4.1177 4.1177 Å, 60.00 60.00 60.00°
Sites, in units of the cell vectors:
Cr1 0.0000 0.0000 0.0000
Cu1 0.2500 0.2500 0.2500
Cu2 0.5000 0.5000 0.5000
Rh1 0.7500 0.7500 0.7500

Calculated values
Space group: F-43m, No. 216
Calculated total energy in eV for the cell shown: -26.268
Formation enthalpy at 0 K in eV per atom: 0.195

Entry 12:
VASP calculation (PBEsol) on a relaxed Al2OsW crystal.

Cell: 4.6698 4.6698 4.7535 Å, 103.06 103.06 35.49°
Sites, in units of the cell vectors:
Al1 0.2429 0.2429 0.2397
Al2 0.7571 0.7571 0.7603
Os1 0.5000 0.5000 0.0000
W1 0.0000 0.0000 0.5000

Calculated values
Space group: C2/m, No. 12
Calculated total energy in eV for the cell shown: -34.370
Formation enthalpy at 0 K in eV per atom: -0.041

Entry 13:
VASP calculation (PBEsol) on a relaxed Li3Mg2 crystal.

Cell: 12.5617 12.5617 12.5617 Å, 14.10 14.10 14.10°
Sites, in units of the cell vectors:
Li1 0.0000 0.0000 0.0000
Li2 0.1998 0.1998 0.1998
Li3 0.8002 0.8002 0.8002
Mg1 0.4001 0.4001 0.4001
Mg2 0.5999 0.5999 0.5999

Calculated values
Space group: R-3m, No. 166
Calculated total energy in eV for the cell shown: -9.474
Formation enthalpy at 0 K in eV per atom: -0.028

Entry 14:
VASP calculation (PBEsol) on a relaxed LiCrCu2 crystal.

Cell: 2.3939 2.3939 8.1497 Å, 90.00 90.00 90.00°
Sites, in units of the cell vectors:
Li1 0.0000 0.0000 0.0000
Cr1 0.5000 0.5000 0.2740
Cu1 0.0000 0.0000 0.5152
Cu2 0.5000 0.5000 0.7494

Calculated values
Space group: P4mm, No. 99
Calculated total energy in eV for the cell shown: -19.786
Formation enthalpy at 0 K in eV per atom: 0.273

Entry 15:
VASP calculation (PBEsol) on a relaxed SrZn2Cu2 crystal.

Cell: 5.6144 5.6144 5.6144 Å, 133.54 133.54 67.81°
Sites, in units of the cell vectors:
Sr1 0.0000 0.0000 0.0000
Zn1 0.3625 0.3625 0.0000
Zn2 0.6375 0.6375 0.0000
Cu1 0.2500 0.7500 0.5000
Cu2 0.7500 0.2500 0.5000

Calculated values
Space group: I4/mmm, No. 139
Calculated total energy in eV for the cell shown: -14.153
Formation enthalpy at 0 K in eV per atom: -0.096

Entry 16:
VASP calculation (PBEsol) on a relaxed Tl3TcAg crystal.

Cell: 5.2116 5.2116 5.2116 Å, 90.00 90.00 90.00°
Sites, in units of the cell vectors:
Tl1 0.0000 0.0000 0.5000
Tl2 0.0000 0.5000 0.0000
Tl3 0.5000 0.0000 0.0000
Tc1 0.0000 0.0000 0.0000
Ag1 0.5000 0.5000 0.5000

Calculated values
Space group: Pm-3m, No. 221
Calculated total energy in eV for the cell shown: -18.630
Formation enthalpy at 0 K in eV per atom: 0.768

Entry 17:
VASP calculation (PBEsol) on a relaxed FePt2 crystal.

Cell: 5.1931 5.1931 6.4586 Å, 105.91 105.91 30.27°
Sites, in units of the cell vectors:
Fe1 0.0294 0.0294 0.2939
Fe2 0.9706 0.9706 0.7061
Pt1 0.3229 0.3229 0.3773
Pt2 0.3628 0.3628 0.9679
Pt3 0.6372 0.6372 0.0321
Pt4 0.6771 0.6771 0.6227

Calculated values
Space group: C2/m, No. 12
Calculated total energy in eV for the cell shown: -46.617
Formation enthalpy at 0 K in eV per atom: -0.139

Entry 18:
VASP calculation (PBEsol) on a relaxed Fe2NiIr crystal.

Cell: 4.3967 4.3967 2.5846 Å, 90.00 90.00 109.18°
Sites, in units of the cell vectors:
Fe1 0.0000 0.5000 0.0000
Fe2 0.5000 0.0000 0.0000
Ni1 0.0000 0.0000 0.5000
Ir1 0.5000 0.5000 0.5000

Calculated values
Space group: Cmmm, No. 65
Calculated total energy in eV for the cell shown: -33.984
Formation enthalpy at 0 K in eV per atom: -0.019

Entry 19:
VASP calculation (PBEsol) on a relaxed HgHPt2I crystal.

Cell: 5.0618 5.0618 3.5191 Å, 90.00 90.00 90.00°
Sites, in units of the cell vectors:
Hg1 0.0000 0.0000 0.0000
H1 0.5000 0.5000 0.0000
Pt1 0.0000 0.5000 0.5000
Pt2 0.5000 0.0000 0.5000
I1 0.5000 0.5000 0.5000

Calculated values
Space group: P4/mmm, No. 123
Calculated total energy in eV for the cell shown: -16.154

Entry 20:
VASP calculation (PBEsol) on a relaxed In2SiPtF crystal.

Cell: 5.1252 5.1252 3.5968 Å, 90.00 90.00 90.00°
Sites, in units of the cell vectors:
In1 0.0000 0.5000 0.0000
In2 0.5000 0.0000 0.0000
Si1 0.0000 0.0000 0.0000
Pt1 0.5000 0.5000 0.5000
F1 0.0000 0.0000 0.5000

Calculated values
Space group: P4/mmm, No. 123
Calculated total energy in eV for the cell shown: -21.921
ΔE_f (raw) in eV/atom: -0.263